Record 1
KWAu3: optimized geometry, PBE.

Output
- ΔE_f (eV/atom) = 2.14
- distance to the lowest polymorph of the same formula (meV/atom) = 1562
- final energy (eV/atom) = -2.6320
- magnetization (μB per formula unit) = 3.91
- density of states at the Fermi level (states/eV/cell) = 1.467

a b c (Å): 5.277 5.277 5.277
angles (deg): 90.00 90.00 90.00
Site moments in Bohr magnetons follow the coordinates.
Atoms (fractional coordinates):
K 0.000 0.000 0.000  -0.03
Au 0.000 0.500 0.000  -0.10
Au 0.000 0.000 0.500  -0.13
Au 0.500 0.000 0.000  -0.04
W 0.500 0.500 0.500  3.19

=====

Record 2
Rb2MgSnRu: optimized geometry, PBE.

Output
- ΔE_f (eV/atom) = 0.97
- final energy (eV/atom) = -2.3952
- magnetization (μB per formula unit) = 0.00
- density of states at the Fermi level (states/eV/cell) = 6.569

a b c (Å): 5.837 5.166 5.837
angles (deg): 90.00 90.00 90.00
Atoms (fractional coordinates):
Ru 0.000 0.000 0.000
Mg 0.000 0.500 0.000
Sn 0.500 0.500 0.500
Rb 0.000 0.000 0.500
Rb 0.500 0.000 0.000

=====

Record 3
PmNdDy4: optimized geometry, PBE.

Output
- ΔE_f (eV/atom) = 0.18
- distance to the lowest polymorph of the same formula (meV/atom) = 164
- final energy (eV/atom) = -4.4722
- magnetization (μB per formula unit) = 0.00
- density of states at the Fermi level (states/eV/cell) = 22.353

a b c (Å): 5.853 9.161 10.413
angles (deg): 105.03 89.90 130.00
Atoms (fractional coordinates):
Pm 0.302 0.552 0.104
Pm 0.698 0.448 0.896
Nd 0.802 0.052 0.105
Nd 0.198 0.948 0.895
Dy 0.291 0.041 0.582
Dy 0.112 0.862 0.225
Dy 0.209 0.459 0.418
Dy 0.387 0.637 0.775
Dy 0.709 0.959 0.418
Dy 0.791 0.541 0.582
Dy 0.888 0.138 0.775
Dy 0.613 0.363 0.225

=====

Record 4
BaBeSeN2: optimized geometry, PBE.

Output
- distance to the lowest polymorph of the same formula (meV/atom) = 1385
- final energy (eV/atom) = -3.1910
- raw formation energy (eV/atom) = 1.966
- magnetization (μB per formula unit) = 2.51
- density of states at the Fermi level (states/eV/cell) = 2.414

a b c (Å): 4.496 4.496 6.851
angles (deg): 90.00 90.00 90.00
Site moments in Bohr magnetons follow the coordinates.
Atoms (fractional coordinates):
Be 0.500 0.500 0.500  -0.02
Ba 0.000 0.000 0.000  0.07
Se 0.000 0.000 0.500  0.05
N 0.000 0.500 0.000  0.83
N 0.500 0.000 0.000  0.83

=====

Record 5
Rb4Tb3NpS8: optimized geometry, PBE.

Output
- final energy (eV/atom) = -5.7042
- raw formation energy (eV/atom) = -1.722
- magnetization (μB per formula unit) = 4.00
- density of states at the Fermi level (states/eV/cell) = 5.746

a b c (Å): 8.231 9.034 8.231
angles (deg): 117.11 120.00 90.00
Site moments in Bohr magnetons follow the coordinates.
Atoms (fractional coordinates):
Rb 0.500 0.000 0.000  0.00
Rb 0.500 0.000 0.500  0.00
Rb 0.000 0.000 0.000  0.00
Rb 0.000 0.000 0.500  0.00
Tb 0.500 0.500 0.000  0.03
Tb 0.500 0.500 0.500  0.03
Tb 0.000 0.500 0.500  0.03
Np 0.000 0.500 0.000  3.81
S 0.232 0.692 0.961  -0.02
S 0.232 0.692 0.464  -0.02
S 0.269 0.307 0.538  0.00
S 0.729 0.692 0.961  -0.02
S 0.271 0.308 0.039  -0.02
S 0.731 0.693 0.462  0.00
S 0.768 0.308 0.536  -0.02
S 0.768 0.308 0.039  -0.02

=====

Record 6
VPHRuS: optimized geometry, PBE.

Output
- distance to the lowest polymorph of the same formula (meV/atom) = 125
- final energy (eV/atom) = -6.6173
- magnetization (μB per formula unit) = 0.14
- density of states at the Fermi level (states/eV/cell) = 6.852

a b c (Å): 6.293 2.986 7.983
angles (deg): 90.00 124.66 90.00
Site moments in Bohr magnetons follow the coordinates.
Atoms (fractional coordinates):
V 0.936 0.000 0.569  0.12
V 0.936 0.500 0.069  0.12
P 0.289 0.000 0.133  0.00
P 0.289 0.500 0.633  0.00
H 0.385 0.000 0.484  0.00
H 0.385 0.500 0.984  0.00
Ru 0.464 0.000 0.918  0.01
Ru 0.464 0.500 0.418  0.01
S 0.852 0.000 0.240  -0.01
S 0.852 0.500 0.740  -0.01

=====

Record 7
Sr3EuAg: optimized geometry, PBE.

Output
- ΔE_f (eV/atom) = -0.05
- final energy (eV/atom) = -3.6824
- magnetization (μB per formula unit) = 7.36
- density of states at the Fermi level (states/eV/cell) = 3.044

a b c (Å): 6.236 6.236 6.236
angles (deg): 90.00 90.00 90.00
Site moments in Bohr magnetons follow the coordinates.
Atoms (fractional coordinates):
Eu 0.500 0.500 0.500  -6.96
Sr 0.000 0.500 0.000  0.00
Sr 0.000 0.000 0.500  0.00
Sr 0.500 0.000 0.000  0.00
Ag 0.000 0.000 0.000  0.00

=====

Record 8
FeCo5: optimized geometry, PBE.

Output
- ΔE_f (eV/atom) = 0.06
- final energy (eV/atom) = -7.2729
- magnetization (μB per formula unit) = 11.10
- density of states at the Fermi level (states/eV/cell) = 7.793

a b c (Å): 2.444 4.049 6.774
angles (deg): 90.00 92.74 90.00
Site moments in Bohr magnetons follow the coordinates.
Atoms (fractional coordinates):
Co 0.999 0.000 0.002  1.72
Co 0.368 0.500 0.169  1.70
Co 0.667 0.000 0.333  1.74
Co 0.966 0.500 0.497  1.70
Co 0.334 0.000 0.664  1.72
Fe 0.667 0.500 0.833  2.63

=====

- Which of these has the lowest final energy?
  FeCo5

=====

- Look up the final energy of the fifth one.
  -5.7042 eV/atom